{"formula": "TaBe2Nb", "functional": "GGA-PBE", "state": "relaxed", "lattice": [[-3.345, 2.114, 1.529], [-2.465, 2.251, -2.619], [-3.932, -1.329, -0.878]], "species": ["Ta", "Nb", "Be", "Be"], "fractional_positions": [[0.500, 0.500, 0.500], [0.000, 0.000, 0.000], [0.250, 0.250, 0.250], [0.750, 0.750, 0.750]], "sg": "Fm-3m (225)", "ef_ev_per_atom": 0.079, "dft_energy_ev_per_atom": -7.2644, "e_above_lowest_polymorph_ev_per_atom": 0.244}